# UZnTc, relaxed, DFT PBE
# Mass density (g/cm3): 11.17
# DFT formation energy (meV per atom): 686
# Raw total energy (eV for the cell shown): -83.46
# M_tot (μB/cell): 5.9
data_UZnTc
_symmetry_space_group_name_H-M 'F -4 3 m'
_symmetry_Int_Tables_number 216
_symmetry_space_group_name_Hall 'F -4 2 3'
_cell_length_a 6.2039
_cell_length_b 6.2039
_cell_length_c 6.2039
_cell_angle_alpha 90.00
_cell_angle_beta 90.00
_cell_angle_gamma 90.00
loop_
_atom_site_label
_atom_site_type_symbol
_atom_site_fract_x
_atom_site_fract_y
_atom_site_fract_z
U1 U 0.0000 0.0000 0.0000
Zn1 Zn 0.2500 0.2500 0.7500
Tc1 Tc 0.0000 0.0000 0.5000

=====

# PuPaGa4, relaxed, DFT PBE
# Mass density (g/cm3): 10.77
# Raw total energy (eV for the cell shown): -153.25
# M_tot (μB/cell): 27.7
data_PuPaGa4
_symmetry_space_group_name_H-M 'F -4 3 m'
_symmetry_Int_Tables_number 216
_symmetry_space_group_name_Hall 'F -4 2 3'
_cell_length_a 7.7473
_cell_length_b 7.7473
_cell_length_c 7.7473
_cell_angle_alpha 90.00
_cell_angle_beta 90.00
_cell_angle_gamma 90.00
loop_
_atom_site_label
_atom_site_type_symbol
_atom_site_fract_x
_atom_site_fract_y
_atom_site_fract_z
Pu1 Pu 0.0000 0.0000 0.0000
Pa1 Pa 0.2500 0.2500 0.7500
Ga1 Ga 0.1251 0.1251 0.3749